## Dy2Er2Co (PBE)

Data for a geometry-optimized Dy2Er2Co structure.

The structure in POSCAR format:
```
Dy2Er2Co
1.0
6.6758 0.0000 3.0489
3.3379 5.7301 1.5244
1.3967 0.0000 7.7405
Er Co Dy
4 2 4
Direct
0.6454 0.0000 0.5977
0.8371 0.0000 0.8897
0.3546 0.0000 0.4023
0.1629 0.0000 0.1103
0.1192 0.7616 0.5000
0.8808 0.2384 0.5000
0.0131 0.5469 0.2567
0.5600 0.4531 0.2566
0.4400 0.5469 0.7434
0.9869 0.4531 0.7433
```

Computed properties:
* N(E_F): 12.1 states/eV/cell
* energy of formation: -80 meV/atom
* raw total energy: -51.67 eV for the cell shown
* space-group type: C2/m (12)